# VInGa2O

A geometry-optimized VInGa2O structure (PBE+U, Alexandria).

Geometry as extended XYZ:
```
5
Lattice="-4.679 2.103 -2.610 -2.118 -1.952 2.225 -0.114 4.379 3.733" Properties=species:S:1:pos:R:3 pbc="T T T"
V 0.000 0.000 0.000
Ga -0.057 2.189 1.867
Ga -2.339 1.051 -1.305
In -3.456 2.265 1.674
O -1.059 -0.976 1.112
```

Values from the calculation:
The value obtained for the density of states at the Fermi level is 2.6 states/eV/cell. The calculation puts the size of the total moment at 1.8 μB per cell. As for the total energy: -21.77 eV/cell.